## Ta2CoW (PBE-GGA)

Data for Ta2CoW after structural relaxation.

Lattice parameters (Å, degrees): 3.198 4.461 4.461 90.00 90.00 90.00
Site moments in Bohr magnetons follow the coordinates.
Sites, in units of the cell vectors:
Co: 0.500 0.000 0.500  1.09
W: 0.500 0.500 0.000  -0.01
Ta: 0.000 0.500 0.500  0.01
Ta: 0.000 0.000 0.000  0.01

Calculated volume = 15.91 Å³ per atom
E_form = -8.48 kJ per mole of atoms
Density of states at the Fermi level = 2.475 states/eV/cell
Crystal system = tetragonal

=====

## SnSb2Au3 (PBE-GGA)

Data for SnSb2Au3 after structural relaxation.

Lattice parameters (Å, degrees): 6.246 7.121 7.121 77.55 90.00 90.00
Sites, in units of the cell vectors:
Au: 0.250 0.822 0.178
Sb: 0.000 0.833 0.833
Au: 0.250 0.677 0.575
Sb: 0.500 0.833 0.833
Au: 0.750 0.323 0.425
Sn: 0.250 0.271 0.729
Sn: 0.750 0.729 0.271
Au: 0.750 0.178 0.822
Sb: 0.000 0.167 0.167
Au: 0.250 0.425 0.323
Au: 0.750 0.575 0.677
Sb: 0.500 0.167 0.167

Calculated volume = 25.77 Å³ per atom
Raw formation energy = 0.44 eV per formula unit
Density of states at the Fermi level = 3.784 states/eV/cell
Crystal system = orthorhombic

=====

## SmHoScPd (PBE-GGA)

Data for SmHoScPd after structural relaxation.

Lattice parameters (Å, degrees): 5.190 5.190 5.190 60.00 60.00 60.00
Sites, in units of the cell vectors:
Ho: 0.750 0.750 0.750
Sc: 0.500 0.500 0.500
Sm: 0.250 0.250 0.250
Pd: 0.000 0.000 0.000

Calculated volume = 24.71 Å³ per atom
E_form = -15.84 kJ per mole of atoms
Density of states at the Fermi level = 5.188 states/eV/cell
Crystal system = cubic

=====

## AcPa2HgO8 (PBE-GGA)

Data for AcPa2HgO8 after structural relaxation.

Lattice parameters (Å, degrees): 5.654 5.654 6.759 114.72 114.72 90.00
Sites, in units of the cell vectors:
O: 0.397 0.431 0.267
O: 0.165 0.603 0.733
Ac: 0.750 0.250 0.500
Hg: 0.000 0.000 0.000
O: 0.351 0.849 0.230
O: 0.151 0.121 0.770
O: 0.870 0.835 0.267
Pa: 0.500 0.500 0.000
O: 0.619 0.649 0.770
O: 0.879 0.381 0.230
Pa: 0.250 0.750 0.500
O: 0.569 0.130 0.733

Calculated volume = 14.52 Å³ per atom
Raw formation energy = -33.34 eV per formula unit
Density of states at the Fermi level = 10.756 states/eV/cell
Crystal system = tetragonal

=====

## Ti2V2Sb (PBE-GGA)

Data for Ti2V2Sb after structural relaxation.

Lattice parameters (Å, degrees): 7.030 7.030 3.385 90.00 90.00 90.00
Sites, in units of the cell vectors:
Ti: 0.310 0.190 0.500
V: 0.895 0.605 0.000
Ti: 0.810 0.310 0.500
Sb: 0.500 0.500 0.000
Ti: 0.690 0.810 0.500
Ti: 0.190 0.690 0.500
Sb: 0.000 0.000 0.000
V: 0.105 0.395 0.000
V: 0.605 0.105 0.000
V: 0.395 0.895 0.000

Calculated volume = 16.73 Å³ per atom
Raw formation energy = -0.12 eV per formula unit
Density of states at the Fermi level = 9.178 states/eV/cell
Crystal system = tetragonal

=====

## HfTeMoI2 (PBE-GGA)

Data for HfTeMoI2 after structural relaxation.

Lattice parameters (Å, degrees): 5.669 5.669 5.595 90.00 90.00 90.00
Site moments in Bohr magnetons follow the coordinates.
Sites, in units of the cell vectors:
I: 0.000 0.500 0.000  0.02
Te: 0.000 0.000 0.500  -0.04
Hf: 0.000 0.000 0.000  0.16
I: 0.500 0.000 0.000  0.02
Mo: 0.500 0.500 0.500  4.08

Calculated volume = 35.96 Å³ per atom
Raw formation energy = 3.22 eV per formula unit
Density of states at the Fermi level = 2.842 states/eV/cell
Crystal system = tetragonal

=====

## YVMo3 (PBE-GGA)

Data for YVMo3 after structural relaxation.

Lattice parameters (Å, degrees): 4.788 4.788 4.788 90.00 90.00 90.00
Site moments in Bohr magnetons follow the coordinates.
Sites, in units of the cell vectors:
V: 0.500 0.500 0.500  2.42
Mo: 0.000 0.500 0.000  -0.06
Mo: 0.000 0.000 0.500  -0.06
Y: 0.000 0.000 0.000  -0.08
Mo: 0.500 0.000 0.000  -0.06

Calculated volume = 21.95 Å³ per atom
E_form = 250.05 kJ per mole of atoms
Density of states at the Fermi level = 9.416 states/eV/cell
Crystal system = cubic

=====

## BaTlF6 (PBE-GGA)

Data for BaTlF6 after structural relaxation.

Lattice parameters (Å, degrees): 5.154 5.154 5.154 97.50 97.50 97.50
Site moments in Bohr magnetons follow the coordinates.
Sites, in units of the cell vectors:
F: 0.444 0.807 0.807  0.16
F: 0.807 0.807 0.444  0.16
Ba: 0.000 0.000 0.000  0.00
F: 0.193 0.193 0.556  0.16
F: 0.193 0.556 0.193  0.16
F: 0.556 0.193 0.193  0.16
F: 0.807 0.444 0.807  0.16
Tl: 0.500 0.500 0.500  0.05

Calculated volume = 16.63 Å³ per atom
Raw formation energy = -18.52 eV per formula unit
Density of states at the Fermi level = 7.046 states/eV/cell
Crystal system = trigonal

=====

## Li2AcInS4 (PBE-GGA)

Data for Li2AcInS4 after structural relaxation.

Lattice parameters (Å, degrees): 6.768 6.178 6.178 66.41 56.79 56.79
Sites, in units of the cell vectors:
S: 0.469 0.106 0.532
In: 0.500 0.500 0.500
Li: 0.750 0.750 0.750
S: 0.106 0.894 0.468
Li: 0.250 0.250 0.250
S: 0.531 0.468 0.894
Ac: 0.000 0.000 0.000
S: 0.894 0.532 0.106

Calculated volume = 22.37 Å³ per atom
Raw formation energy = -11.02 eV per formula unit
Density of states at the Fermi level = 0.000 states/eV/cell
Crystal system = tetragonal

=====

## Mg2ScOs2 (PBE-GGA)

Data for Mg2ScOs2 after structural relaxation.

Lattice parameters (Å, degrees): 3.939 3.939 6.737 73.00 73.00 90.00
Site moments in Bohr magnetons follow the coordinates.
Sites, in units of the cell vectors:
Mg: 0.250 0.750 0.500  0.00
Os: 0.596 0.596 0.808  0.49
Os: 0.404 0.404 0.192  0.49
Mg: 0.750 0.250 0.500  0.00
Sc: 0.000 0.000 0.000  -0.06

Calculated volume = 19.04 Å³ per atom
E_form = 36.99 kJ per mole of atoms
Density of states at the Fermi level = 4.069 states/eV/cell
Crystal system = tetragonal

=====

> Which formula does entry 6 have?

HfTeMoI2

=====

> Which value of calculated volume does entry 4 give?

14.52 Å³ per atom

=====

> Number 2 is which compound?

SnSb2Au3